# SrYLu2 PBE relaxed
data_SrYLu2
_symmetry_space_group_name_H-M 'P 1'
_symmetry_Int_Tables_number 1
_cell_length_a 3.643
_cell_length_b 3.643
_cell_length_c 10.485
_cell_angle_alpha 90.00
_cell_angle_beta 90.00
_cell_angle_gamma 90.00
loop_
_symmetry_equiv_pos_as_xyz
'x,y,z'
loop_
_atom_site_label
_atom_site_type_symbol
_atom_site_fract_x
_atom_site_fract_y
_atom_site_fract_z
_atom_site_occupancy
Y1 Y 0.500 0.500 0.000 1
Sr1 Sr 0.500 0.500 0.500 1
Lu1 Lu 0.000 0.000 0.780 1
Lu2 Lu 0.000 0.000 0.220 1
# energy above the lowest structure with this stoichiometry = 0 meV/atom